1.
## CeMg8Zn4 (PBE)

Data for a geometry-optimized CeMg8Zn4 structure. Values from VASP.

Cell and atoms, written as Quantum ESPRESSO input:
```
&SYSTEM
  ibrav = 0, nat = 13, ntyp = 3
/
ATOMIC_SPECIES
Ce 140.12 Ce.upf
Mg 24.30 Mg.upf
Zn 65.41 Zn.upf
ATOMIC_POSITIONS angstrom
Ce 0.000 0.000 0.000
Mg 3.364 0.000 0.000
Mg 6.361 0.000 0.000
Mg 4.863 2.771 0.000
Mg 0.000 3.364 0.000
Mg 2.771 4.863 0.000
Mg 2.091 0.000 2.800
Mg 0.000 6.361 0.000
Mg 0.000 2.091 2.800
Zn 2.431 2.431 -1.400
Zn 2.431 -2.431 1.400
Zn -2.431 2.431 1.400
Zn 2.431 2.431 1.400
CELL_PARAMETERS angstrom
-4.863 4.863 2.800
4.863 -4.863 2.800
4.863 4.863 -2.800
```

For the total DFT energy (no corrections), the calculation gives -25.3 eV/cell. Its total magnetization is 0.07 μB/atom.

***

2.
## Re2SiS (PBE)

Data for a geometry-optimized Re2SiS structure. Values from VASP.

Cell and atoms, written as Quantum ESPRESSO input:
```
&SYSTEM
  ibrav = 0, nat = 16, ntyp = 3
/
ATOMIC_SPECIES
Re 186.21 Re.upf
Si 28.09 Si.upf
S 32.06 S.upf
ATOMIC_POSITIONS angstrom
Re 1.264 1.368 1.268
Re 1.368 4.000 3.803
Re 1.368 4.208 8.874
Re 1.472 1.368 6.339
Re 4.000 4.104 6.339
Re 4.104 1.264 8.874
Re 4.104 1.472 3.803
Re 4.208 4.104 1.268
Si 0.000 0.000 5.071
Si 0.000 2.736 7.606
Si 2.736 0.000 2.535
Si 2.736 2.736 0.000
S 0.000 0.000 0.000
S 0.000 2.736 2.535
S 2.736 0.000 7.606
S 2.736 2.736 5.071
CELL_PARAMETERS angstrom
5.472 0.000 0.000
0.000 5.472 0.000
0.000 0.000 10.142
```

For the total DFT energy (no corrections), the calculation gives -126.8 eV/cell. The raw formation energy comes out at 684 meV per atom. Its total magnetization is 0.00 μB/atom.

***

3.
## Rb3Sc3GaSe8 (PBE)

Data for a geometry-optimized Rb3Sc3GaSe8 structure. Values from VASP.

Cell and atoms, written as Quantum ESPRESSO input:
```
&SYSTEM
  ibrav = 0, nat = 15, ntyp = 4
/
ATOMIC_SPECIES
Rb 85.47 Rb.upf
Sc 44.96 Sc.upf
Ga 69.72 Ga.upf
Se 78.96 Se.upf
ATOMIC_POSITIONS angstrom
Rb 0.000 0.000 0.000
Rb 3.395 1.955 0.000
Rb 3.395 -1.955 0.000
Sc 1.128 1.955 4.106
Sc 1.128 -1.955 4.106
Sc 4.523 0.000 4.106
Ga -2.267 0.000 4.106
Se -0.030 0.000 5.604
Se 3.402 1.978 5.604
Se 5.643 1.978 2.607
Se 2.261 0.000 2.564
Se 6.785 0.000 5.647
Se 3.402 -1.978 5.604
Se 5.643 -1.978 2.607
Se 9.075 0.000 2.607
CELL_PARAMETERS angstrom
6.790 -3.910 0.000
6.790 3.910 0.000
-4.534 0.000 8.211
```

For the total DFT energy (no corrections), the calculation gives -72.3 eV/cell. The raw formation energy comes out at -1302 meV per atom. Its total magnetization is 0.00 μB/atom.

***

4.
## Y2HoEr (PBE)

Data for a geometry-optimized Y2HoEr structure. Values from VASP.

Cell and atoms, written as Quantum ESPRESSO input:
```
&SYSTEM
  ibrav = 0, nat = 12, ntyp = 3
/
ATOMIC_SPECIES
Y 88.91 Y.upf
Ho 164.93 Ho.upf
Er 167.26 Er.upf
ATOMIC_POSITIONS angstrom
Y 0.000 0.000 0.000
Y 0.000 0.000 5.691
Y 0.000 2.064 22.829
Y 0.000 2.064 28.520
Y 1.787 1.032 11.414
Y 1.787 1.032 17.105
Ho 0.000 0.000 25.660
Ho 0.000 2.064 14.245
Ho 1.787 1.032 2.831
Er 0.000 0.000 19.973
Er 0.000 2.064 8.559
Er 1.787 1.032 31.388
CELL_PARAMETERS angstrom
3.575 0.000 0.000
-1.787 3.096 0.000
0.000 0.000 34.243
```

For the total DFT energy (no corrections), the calculation gives -66.1 eV/cell. Its total magnetization is 0.00 μB/atom.

***

What did the second record say?
## Re2SiS (PBE)

Data for a geometry-optimized Re2SiS structure. Values from VASP.

Cell and atoms, written as Quantum ESPRESSO input:
```
&SYSTEM
  ibrav = 0, nat = 16, ntyp = 3
/
ATOMIC_SPECIES
Re 186.21 Re.upf
Si 28.09 Si.upf
S 32.06 S.upf
ATOMIC_POSITIONS angstrom
Re 1.264 1.368 1.268
Re 1.368 4.000 3.803
Re 1.368 4.208 8.874
Re 1.472 1.368 6.339
Re 4.000 4.104 6.339
Re 4.104 1.264 8.874
Re 4.104 1.472 3.803
Re 4.208 4.104 1.268
Si 0.000 0.000 5.071
Si 0.000 2.736 7.606
Si 2.736 0.000 2.535
Si 2.736 2.736 0.000
S 0.000 0.000 0.000
S 0.000 2.736 2.535
S 2.736 0.000 7.606
S 2.736 2.736 5.071
CELL_PARAMETERS angstrom
5.472 0.000 0.000
0.000 5.472 0.000
0.000 0.000 10.142
```

For the total DFT energy (no corrections), the calculation gives -126.8 eV/cell. The raw formation energy comes out at 684 meV per atom. Its total magnetization is 0.00 μB/atom.